Entry 1:
A plane-wave DFT calculation with GGA-PBE was carried out for crystalline NaCeCd2 at its relaxed geometry.

Cell lengths 3.3451, 5.6729, 5.6729 Å; angles 90.00, 90.00, 90.00 degrees
Last column: nearest neighbours and their distance in Å.
Sites, in units of the cell vectors:
Cd: 0.0000 0.5000 0.0000  4 Ce 3.29, 4 Na 3.29, 2 Cd 3.35
Ce: 0.5000 0.5000 0.5000  8 Cd 3.29, 2 Ce 3.35
Na: 0.5000 0.0000 0.0000  8 Cd 3.29, 2 Na 3.35
Cd: 0.0000 0.0000 0.5000  4 Na 3.29, 4 Ce 3.29, 2 Cd 3.35

Output
total moment: 1.1 μB/cell
total DFT energy (no corrections): -9.39 eV per formula unit
DFT formation energy: -0.076 eV per atom
offset from the most stable computed form: 0.10 eV/f.u.

***

Entry 2:
A plane-wave DFT calculation with GGA-PBE was carried out for crystalline PmInCl4 at its relaxed geometry.

Cell lengths 6.8198, 7.4789, 9.0280 Å; angles 103.92, 112.24, 90.01 degrees
Last column: nearest neighbours and their distance in Å.
Sites, in units of the cell vectors:
Cl: 0.4986 0.0376 0.8038  1 Pm 2.69, 1 In 2.97
Cl: 0.2610 0.6611 0.3869  2 Pm 2.76
Pm: 0.0000 0.5000 0.5000  6 Cl 2.69-2.76
Pm: 0.5000 0.0000 0.5000  6 Cl 2.69-2.76
Cl: 0.1256 0.1610 0.3868  2 Pm 2.76
Cl: 0.7390 0.3389 0.6131  2 Pm 2.76
In: 0.2704 0.2494 0.9998  4 Cl 2.97-3.16
Cl: 0.5014 0.9624 0.1962  1 Pm 2.69, 1 In 2.97
Cl: 0.8744 0.8390 0.6132  2 Pm 2.76
Cl: 0.3059 0.5374 0.8037  1 Pm 2.69, 1 In 2.97
Cl: 0.6941 0.4626 0.1963  1 Pm 2.69, 1 In 2.97
In: 0.7296 0.7506 0.0002  4 Cl 2.97-3.16

Output
formation energy without anion corrections: -1785 meV per atom
total moment: 0.0 μB/cell
total DFT energy (no corrections): -25.59 eV per formula unit
offset from the most stable computed form: 0.03 eV/f.u.

***

Entry 3:
A plane-wave DFT calculation with GGA-PBE was carried out for crystalline SiAgMo2 at its relaxed geometry.

Cell lengths 2.7433, 2.7433, 8.4919 Å; angles 90.00, 90.00, 103.48 degrees
Last column: nearest neighbours and their distance in Å.
Sites, in units of the cell vectors:
Si: 0.5000 0.5000 0.2500  4 Mo 2.54, 4 Si 2.74
Mo: 0.0000 0.0000 0.0278  2 Si 2.54, 4 Mo 2.74
Mo: 0.0000 0.0000 0.4722  2 Si 2.54, 4 Mo 2.74
Ag: 0.5000 0.5000 0.7500  4 Ag 2.74, 4 Mo 2.91

Output
formation energy without anion corrections: 208 meV per atom
total moment: 0.0 μB/cell
total DFT energy (no corrections): -29.11 eV per formula unit

***

Entry 4:
A plane-wave DFT calculation with GGA-PBE was carried out for crystalline MnPdS2 at its relaxed geometry.

Cell lengths 3.9194, 3.9194, 6.4342 Å; angles 72.27, 72.27, 60.00 degrees
Last column: nearest neighbours and their distance in Å.
Sites, in units of the cell vectors:
Pd: 0.9936 0.9936 0.0192  4 S 2.33-2.45
S: 0.8583 0.8583 0.4252  3 Mn 2.39, 1 Pd 2.45
S: 0.3582 0.3582 0.9253  1 Mn 2.24, 3 Pd 2.33
Mn: 0.4825 0.4825 0.5526  4 S 2.24-2.39

Output
formation energy without anion corrections: -332 meV per atom
total moment: 3.7 μB/cell
total DFT energy (no corrections): -23.95 eV per formula unit

***

Which of these has the highest total moment?
MnPdS2